Version a
Entry from the Alexandria database: a relaxed CaAl3Zn3 crystal (GGA-PBE).

abc: 7.0112 7.0112 7.0112
angles: 90.00 90.00 90.00
Last column: nearest neighbours and their distance in Å.
Space group Pm-3n (No. 223)
Symmetry-distinct sites (fractional):
Ca (0.0000, 0.0000, 0.0000)  12 Al 3.92, 12 Zn 3.92
Al (0.0000, 0.2500, 0.5000)  4 Zn 2.48
Zn (0.0000, 0.5000, 0.2500)  4 Al 2.48

- Total moment: 0.00 μB/atom

---

Version b
Entry from the Alexandria database: a relaxed CaAl3Zn3 crystal (GGA-PBE).

abc: 7.0521 4.4499 9.3003
angles: 90.00 110.81 90.00
Last column: nearest neighbours and their distance in Å.
Space group P2_1/m (No. 11)
Symmetry-distinct sites (fractional):
Ca (0.0463, 0.2500, 0.2100)  8 Zn 3.20-3.46, 6 Al 3.21-3.37
Al (0.2369, 0.2500, 0.6865)  4 Zn 2.51-2.72, 2 Al 2.73
Al (0.3453, 0.7500, 0.1203)  4 Zn 2.57-2.84, 3 Al 2.74-2.85
Al (0.4732, 0.7500, 0.7159)  5 Zn 2.57-2.76, 4 Al 2.73-2.74
Zn (0.1159, 0.7500, 0.5097)  4 Al 2.51-2.72, 3 Zn 2.60-2.73
Zn (0.3141, 0.2500, 0.9753)  5 Al 2.54-2.84
Zn (0.4201, 0.7500, 0.4142)  5 Al 2.59-2.89, 3 Zn 2.60-2.74

- Total moment: 0.00 μB/atom

---

It is version b that is the most stable of them.